Record 1
# HfHN3 (GGA-PBEsol, relaxed)
data_HfHN3
_chemical_formula_sum 'Hf1 H1 N3'
_space_group_name_H-M_alt 'P 1'
_space_group_IT_number 1
_space_group_name_Hall 'P 1'
_cell_length_a 4.1702
_cell_length_b 4.1702
_cell_length_c 4.1702
_cell_angle_alpha 90.00
_cell_angle_beta 90.00
_cell_angle_gamma 90.00
loop_
_atom_site_label
_atom_site_type_symbol
_atom_site_fract_x
_atom_site_fract_y
_atom_site_fract_z
N1 N 0.0000 0.5000 0.0000
N2 N 0.5000 0.0000 0.0000
Hf1 Hf 0.0000 0.0000 0.0000
H1 H 0.5000 0.5000 0.5000
N3 N 0.0000 0.0000 0.5000
# - Total magnetic moment: 3.32 μB per formula unit
# - SG: No. 221
# - Electronic total energy: -32.0 eV for the cell shown



Record 2
# La2BeP (GGA-PBEsol, relaxed)
data_La2BeP
_chemical_formula_sum 'La2 Be1 P1'
_space_group_name_H-M_alt 'P 1'
_space_group_IT_number 1
_space_group_name_Hall 'P 1'
_cell_length_a 4.9238
_cell_length_b 4.9238
_cell_length_c 4.9238
_cell_angle_alpha 60.00
_cell_angle_beta 60.00
_cell_angle_gamma 60.00
loop_
_atom_site_label
_atom_site_type_symbol
_atom_site_fract_x
_atom_site_fract_y
_atom_site_fract_z
Be1 Be 0.5000 0.5000 0.5000
La1 La 0.7500 0.7500 0.7500
P1 P 0.2500 0.2500 0.2500
La2 La 0.0000 0.0000 0.0000
# - Total magnetic moment: 0.00 μB per formula unit
# - SG: No. 216
# - Energy relative to the elements: 0.18 eV per atom
# - Offset from the most stable computed form: 0.384 eV per atom



Record 3
# LiCrTc2 (GGA-PBEsol, relaxed)
data_LiCrTc2
_chemical_formula_sum 'Li1 Cr1 Tc2'
_space_group_name_H-M_alt 'P 1'
_space_group_IT_number 1
_space_group_name_Hall 'P 1'
_cell_length_a 2.6041
_cell_length_b 2.6041
_cell_length_c 8.1457
_cell_angle_alpha 90.00
_cell_angle_beta 90.00
_cell_angle_gamma 90.00
loop_
_atom_site_label
_atom_site_type_symbol
_atom_site_fract_x
_atom_site_fract_y
_atom_site_fract_z
Tc1 Tc 0.0000 0.0000 0.0158
Li1 Li 0.5000 0.5000 0.7488
Cr1 Cr 0.0000 0.0000 0.4773
Tc2 Tc 0.5000 0.5000 0.2581
# - Total magnetic moment: 0.01 μB per formula unit
# - SG: No. 99
# - Energy relative to the elements: 0.47 eV per atom
# - Offset from the most stable computed form: 0.193 eV per atom



Record 4
# Sr2BeFe (GGA-PBEsol, relaxed)
data_Sr2BeFe
_chemical_formula_sum 'Sr2 Be1 Fe1'
_space_group_name_H-M_alt 'P 1'
_space_group_IT_number 1
_space_group_name_Hall 'P 1'
_cell_length_a 3.8608
_cell_length_b 4.4465
_cell_length_c 7.0796
_cell_angle_alpha 108.30
_cell_angle_beta 105.82
_cell_angle_gamma 90.00
loop_
_atom_site_label
_atom_site_type_symbol
_atom_site_fract_x
_atom_site_fract_y
_atom_site_fract_z
Be1 Be 0.5856 0.5856 0.1713
Sr1 Sr 0.7555 0.2555 0.5111
Sr2 Sr 0.9973 0.9973 0.9946
Fe1 Fe 0.1615 0.6615 0.3231
# - Total magnetic moment: 1.49 μB per formula unit
# - SG: No. 44
# - Energy relative to the elements: 0.53 eV per atom



no.,DOS(E_F) (states/eV per cell),ρ (g cm⁻³)
1,5.5,5.07
2,4.0,6.25
3,4.6,7.66
4,4.0,3.61